<i>
VASP calculation (GGA-PBE) on a relaxed TlIr2 crystal.

```
TlIr2
1.0
5.189 -1.063 0.910
2.438 2.027 4.340
1.409 -3.240 4.050
Tl Ir
2 4
Direct
0.500 0.500 0.500 Tl
0.750 0.750 0.750 Tl
0.625 0.125 0.125 Ir
0.125 0.625 0.125 Ir
0.125 0.125 0.625 Ir
0.125 0.125 0.125 Ir
```

Crystal system   cubic
Space-group type   No. 227
Calculated volume   18.294 Å³/atom
D(E_F)   1.673 states/eV per atom

<ii>
VASP calculation (GGA-PBE) on a relaxed TlIr2 crystal.

```
TlIr2
1.0
-1.817 1.416 1.852
-0.853 -0.548 -2.776
-2.638 -5.992 1.992
Ir Tl
2 1
Direct
0.667 0.333 0.650 Ir
0.333 0.667 0.350 Ir
0.000 0.000 0.000 Tl
```

Crystal system   trigonal
Space-group type   No. 164
Calculated volume   17.254 Å³/atom
D(E_F)   0.918 states/eV per atom

<iii>
VASP calculation (GGA-PBE) on a relaxed TlIr2 crystal.

```
TlIr2
1.0
-1.138 0.850 4.164
-2.686 -2.743 2.151
1.565 -2.503 3.263
Ir Tl
2 1
Direct
0.750 0.750 0.750 Ir
0.250 0.250 0.250 Ir
0.000 0.000 0.000 Tl
```

Crystal system   cubic
Space-group type   No. 225
Calculated volume   20.079 Å³/atom
D(E_F)   1.947 states/eV per atom

<iv>
VASP calculation (GGA-PBE) on a relaxed TlIr2 crystal.

```
TlIr2
1.0
-1.988 1.988 7.707
1.988 -1.988 7.707
1.988 1.988 -7.707
Tl Ir
2 4
Direct
0.000 0.000 0.000 Tl
0.750 0.250 0.500 Tl
0.578 0.578 0.000 Ir
0.172 0.672 0.500 Ir
0.422 0.422 0.000 Ir
0.328 0.828 0.500 Ir
```

Crystal system   tetragonal
Space-group type   No. 141
Calculated volume   20.310 Å³/atom
D(E_F)   0.622 states/eV per atom

Name the most stable of them. <i>.

<i>
VASP calculation (GGA-PBE) on a relaxed TlIr2 crystal.

```
TlIr2
1.0
3.929 -6.806 0.000
3.929 6.806 0.000
0.000 0.000 2.887
Tl Ir
3 6
Direct
0.333 0.667 0.000 Tl
0.667 0.333 0.000 Tl
0.000 0.000 0.500 Tl
0.309 0.000 0.000 Ir
0.000 0.309 0.000 Ir
0.691 0.691 0.000 Ir
0.640 0.000 0.500 Ir
0.000 0.640 0.500 Ir
0.360 0.360 0.500 Ir
```

Crystal system   hexagonal
Space-group type   No. 189
Calculated volume   17.153 Å³/atom
D(E_F)   1.798 states/eV per atom

<ii>
VASP calculation (GGA-PBE) on a relaxed TlIr2 crystal.

```
TlIr2
1.0
-4.792 -0.657 4.115
-4.779 -3.895 1.526
6.037 1.247 -1.528
Ir Tl
2 1
Direct
0.322 0.322 0.000 Ir
0.678 0.678 0.000 Ir
0.000 0.000 0.000 Tl
```

Crystal system   tetragonal
Space-group type   No. 139
Calculated volume   17.195 Å³/atom
D(E_F)   1.214 states/eV per atom

<iii>
VASP calculation (GGA-PBE) on a relaxed TlIr2 crystal.

```
TlIr2
1.0
-2.573 2.573 4.389
2.573 -2.573 4.389
2.573 2.573 -4.389
Tl Ir
2 4
Direct
0.750 0.750 0.000 Tl
0.250 0.250 0.000 Tl
0.182 0.682 0.864 Ir
0.818 0.318 0.136 Ir
0.682 0.818 0.500 Ir
0.318 0.182 0.500 Ir
```

Crystal system   tetragonal
Space-group type   No. 140
Calculated volume   19.370 Å³/atom
D(E_F)   1.228 states/eV per atom

<iv>
VASP calculation (GGA-PBE) on a relaxed TlIr2 crystal.

```
TlIr2
1.0
5.425 0.000 0.000
-2.712 4.698 0.000
0.000 0.000 8.512
Tl Ir
4 8
Direct
0.333 0.667 0.063 Tl
0.667 0.333 0.563 Tl
0.667 0.333 0.937 Tl
0.333 0.667 0.437 Tl
0.000 0.000 0.000 Ir
0.000 0.000 0.500 Ir
0.830 0.660 0.250 Ir
0.170 0.340 0.750 Ir
0.340 0.170 0.250 Ir
0.830 0.170 0.250 Ir
0.170 0.830 0.750 Ir
0.660 0.830 0.750 Ir
```

Crystal system   hexagonal
Space-group type   No. 194
Calculated volume   18.077 Å³/atom
D(E_F)   0.849 states/eV per atom

Name the most stable of them. <iv>.

<i>
VASP calculation (GGA-PBE) on a relaxed Tl4Ir5 crystal.

```
Tl4Ir5
1.0
-0.302 -7.969 1.412
6.507 3.235 -3.575
2.444 0.828 5.198
Tl Ir
8 10
Direct
0.000 0.000 0.000 Tl
0.000 0.000 0.500 Tl
0.000 0.364 0.250 Tl
0.636 0.636 0.250 Tl
0.364 0.000 0.250 Tl
0.000 0.636 0.750 Tl
0.364 0.364 0.750 Tl
0.636 0.000 0.750 Tl
0.000 0.693 0.250 Ir
0.307 0.307 0.250 Ir
0.693 0.000 0.250 Ir
0.000 0.307 0.750 Ir
0.693 0.693 0.750 Ir
0.307 0.000 0.750 Ir
0.667 0.333 0.000 Ir
0.333 0.667 0.500 Ir
0.333 0.667 0.000 Ir
0.667 0.333 0.500 Ir
```

Crystal system   hexagonal
Space-group type   No. 193
Calculated volume   18.314 Å³/atom
D(E_F)   1.186 states/eV per atom

<ii>
VASP calculation (GGA-PBE) on a relaxed Tl4Ir5 crystal.

```
Tl4Ir5
1.0
-4.401 4.401 2.151
4.401 -4.401 2.151
4.401 4.401 -2.151
Tl Ir
4 5
Direct
0.691 0.000 0.691 Tl
0.309 0.000 0.309 Tl
0.000 0.309 0.309 Tl
0.000 0.691 0.691 Tl
0.000 0.000 0.000 Ir
0.659 0.341 0.000 Ir
0.341 0.659 0.000 Ir
0.341 0.341 0.681 Ir
0.659 0.659 0.319 Ir
```

Crystal system   tetragonal
Space-group type   No. 139
Calculated volume   18.518 Å³/atom
D(E_F)   0.904 states/eV per atom

Name the most stable of them. <ii>.

<i>
VASP calculation (GGA-PBE) on a relaxed TlIr4 crystal.

```
TlIr4
1.0
-0.286 -4.594 1.617
4.852 -0.125 0.501
-0.431 1.637 4.576
Tl Ir
1 4
Direct
0.500 0.500 0.500 Tl
0.000 0.000 0.000 Ir
0.500 0.000 0.500 Ir
0.000 0.500 0.500 Ir
0.500 0.500 0.000 Ir
```

Crystal system   cubic
Space-group type   No. 221
Calculated volume   23.229 Å³/atom
D(E_F)   1.986 states/eV per atom

<ii>
VASP calculation (GGA-PBE) on a relaxed TlIr4 crystal.

```
TlIr4
1.0
-0.652 -4.477 5.127
1.953 -0.108 6.552
-2.932 3.425 -5.141
Tl Ir
1 4
Direct
0.000 0.000 0.000 Tl
0.750 0.250 0.500 Ir
0.250 0.750 0.500 Ir
0.602 0.602 0.000 Ir
0.398 0.398 0.000 Ir
```

Crystal system   tetragonal
Space-group type   No. 139
Calculated volume   17.598 Å³/atom
D(E_F)   0.831 states/eV per atom

Name the most stable of them. <ii>.

<i>
VASP calculation (GGA-PBE) on a relaxed Tl4Ir crystal.

```
Tl4Ir
1.0
-3.408 3.627 1.900
-3.284 -0.945 -4.087
-2.445 -3.786 2.841
Tl Ir
4 1
Direct
0.000 0.000 0.000 Tl
0.500 0.000 0.500 Tl
0.000 0.500 0.500 Tl
0.500 0.500 0.000 Tl
0.500 0.500 0.500 Ir
```

Crystal system   cubic
Space-group type   No. 221
Calculated volume   30.239 Å³/atom
D(E_F)   0.637 states/eV per atom

<ii>
VASP calculation (GGA-PBE) on a relaxed Tl4Ir crystal.

```
Tl4Ir
1.0
5.182 -1.031 2.135
-2.534 4.090 3.054
-3.130 -4.757 0.230
Tl Ir
4 1
Direct
0.500 0.000 0.000 Tl
0.500 0.500 0.500 Tl
0.000 0.500 0.000 Tl
0.000 0.000 0.500 Tl
0.000 0.000 0.000 Ir
```

Crystal system   cubic
Space-group type   No. 229
Calculated volume   28.490 Å³/atom
D(E_F)   0.901 states/eV per atom

Name the most stable of them. <i>.

<i>
VASP calculation (GGA-PBE) on a relaxed Tm6Tl2Ir crystal.

```
Tm6Tl2Ir
1.0
-1.337 4.300 2.132
-0.649 -3.335 6.320
8.096 0.984 -2.723
Tm Tl Ir
6 2 1
Direct
0.155 0.392 0.310 Tm
0.845 0.082 0.690 Tm
0.845 0.608 0.690 Tm
0.500 0.224 0.000 Tm
0.155 0.918 0.310 Tm
0.500 0.776 0.000 Tm
0.667 0.667 0.333 Tl
0.333 0.333 0.667 Tl
0.000 0.000 0.000 Ir
```

Crystal system   orthorhombic
Space-group type   No. 71
Calculated volume   29.422 Å³/atom
D(E_F)   0.828 states/eV per atom

<ii>
VASP calculation (GGA-PBE) on a relaxed Tm6Tl2Ir crystal.

```
Tm6Tl2Ir
1.0
-0.343 0.784 -3.749
-6.552 -5.477 -0.547
-1.395 8.171 1.837
Tm Tl Ir
6 2 1
Direct
0.500 0.607 0.000 Tm
0.500 0.383 0.385 Tm
0.500 0.998 0.615 Tm
0.000 0.247 0.000 Tm
0.000 0.760 0.763 Tm
0.000 0.996 0.237 Tm
0.000 0.331 0.664 Tl
0.000 0.667 0.336 Tl
0.500 0.011 0.000 Ir
```

Crystal system   orthorhombic
Space-group type   No. 38
Calculated volume   26.811 Å³/atom
D(E_F)   0.963 states/eV per atom

Name the most stable of them. <ii>.

<i>
VASP calculation (GGA-PBE) on a relaxed Tm3TlIr crystal.

```
Tm3TlIr
1.0
-2.424 1.358 -2.527
-4.355 -0.202 6.860
2.767 8.679 2.012
Tm Tl Ir
6 2 2
Direct
0.665 0.329 0.935 Tm
0.665 0.329 0.565 Tm
0.335 0.671 0.065 Tm
0.871 0.742 0.750 Tm
0.129 0.258 0.250 Tm
0.335 0.671 0.435 Tm
0.000 0.000 0.500 Tl
0.000 0.000 0.000 Tl
0.752 0.504 0.250 Ir
0.248 0.496 0.750 Ir
```

Crystal system   orthorhombic
Space-group type   No. 63
Calculated volume   27.707 Å³/atom
D(E_F)   0.839 states/eV per atom

<ii>
VASP calculation (GGA-PBE) on a relaxed Tm3TlIr crystal.

```
Tm3TlIr
1.0
-0.966 -4.141 -1.997
-0.979 -2.719 6.111
-8.026 2.052 -0.372
Tm Tl Ir
6 2 2
Direct
0.750 0.750 0.062 Tm
0.250 0.250 0.938 Tm
0.750 0.005 0.654 Tm
0.750 0.495 0.654 Tm
0.250 0.995 0.346 Tm
0.250 0.505 0.346 Tm
0.750 0.250 0.181 Tl
0.250 0.750 0.819 Tl
0.750 0.750 0.389 Ir
0.250 0.250 0.611 Ir
```

Crystal system   orthorhombic
Space-group type   No. 59
Calculated volume   26.334 Å³/atom
D(E_F)   0.635 states/eV per atom

Name the most stable of them. <ii>.

<i>
VASP calculation (GGA-PBE) on a relaxed Tm4TlIr crystal.

```
Tm4TlIr
1.0
-7.910 -5.358 -0.091
-4.989 -1.289 8.046
-8.565 4.109 1.020
Tm Tl Ir
16 4 4
Direct
0.401 0.401 0.401 Tm
0.798 0.401 0.401 Tm
0.401 0.798 0.401 Tm
0.401 0.401 0.798 Tm
0.559 0.559 0.941 Tm
0.941 0.941 0.559 Tm
0.559 0.941 0.559 Tm
0.941 0.559 0.941 Tm
0.941 0.559 0.559 Tm
0.559 0.941 0.941 Tm
0.191 0.191 0.809 Tm
0.809 0.809 0.191 Tm
0.191 0.809 0.191 Tm
0.809 0.191 0.809 Tm
0.809 0.191 0.191 Tm
0.191 0.809 0.809 Tm
0.164 0.164 0.164 Tl
0.509 0.164 0.164 Tl
0.164 0.509 0.164 Tl
0.164 0.164 0.509 Tl
0.609 0.609 0.609 Ir
0.174 0.609 0.609 Ir
0.609 0.174 0.609 Ir
0.609 0.609 0.174 Ir
```

Crystal system   cubic
Space-group type   No. 216
Calculated volume   25.697 Å³/atom
D(E_F)   0.568 states/eV per atom

<ii>
VASP calculation (GGA-PBE) on a relaxed Tm4TlIr crystal.

```
Tm4TlIr
1.0
6.780 0.000 -0.027
0.000 6.931 0.000
-0.114 0.000 7.487
Tm Tl Ir
8 2 2
Direct
0.877 0.640 0.189 Tm
0.623 0.140 0.811 Tm
0.332 0.342 0.364 Tm
0.168 0.842 0.636 Tm
0.123 0.360 0.811 Tm
0.377 0.860 0.189 Tm
0.668 0.658 0.636 Tm
0.832 0.158 0.364 Tm
0.000 0.000 0.000 Tl
0.500 0.500 0.000 Tl
0.500 0.000 0.500 Ir
0.000 0.500 0.500 Ir
```

Crystal system   monoclinic
Space-group type   No. 14
Calculated volume   29.314 Å³/atom
D(E_F)   0.946 states/eV per atom

Name the most stable of them. <i>.

<i>
VASP calculation (GGA-PBE) on a relaxed TlV2Ir crystal.

```
TlV2Ir
1.0
7.248 0.000 0.000
0.000 7.248 0.000
3.624 3.624 2.748
Tl Ir V
2 2 4
Direct
0.000 0.000 0.000 Tl
0.750 0.250 0.500 Tl
0.500 0.500 0.000 Ir
0.250 0.750 0.500 Ir
0.574 0.125 0.250 V
0.176 0.625 0.250 V
0.375 0.426 0.750 V
0.875 0.824 0.750 V
```

Crystal system   tetragonal
Space-group type   No. 122
Calculated volume   18.047 Å³/atom
D(E_F)   1.060 states/eV per atom

<ii>
VASP calculation (GGA-PBE) on a relaxed TlV2Ir crystal.

```
TlV2Ir
1.0
0.000 3.199 3.199
3.199 0.000 3.199
3.199 3.199 0.000
Tl Ir V
1 1 2
Direct
0.500 0.500 0.500 Tl
0.000 0.000 0.000 Ir
0.250 0.250 0.250 V
0.750 0.750 0.750 V
```

Crystal system   cubic
Space-group type   No. 225
Calculated volume   16.375 Å³/atom
D(E_F)   1.702 states/eV per atom

Name the most stable of them. <ii>.

<i>
VASP calculation (GGA-PBE) on a relaxed Tl2VIr crystal.

```
Tl2VIr
1.0
-0.894 -4.473 1.296
-4.435 -1.670 -0.149
-1.214 -3.217 -3.265
Tl Ir V
2 1 1
Direct
0.250 0.250 0.250 Tl
0.750 0.750 0.750 Tl
0.500 0.500 0.500 Ir
0.000 0.000 0.000 V
```

Crystal system   cubic
Space-group type   No. 225
Calculated volume   18.847 Å³/atom
D(E_F)   0.718 states/eV per atom

<ii>
VASP calculation (GGA-PBE) on a relaxed Tl2VIr crystal.

```
Tl2VIr
1.0
7.789 0.000 0.000
0.000 7.789 0.000
3.894 3.894 2.836
Tl Ir V
4 2 2
Direct
0.643 0.125 0.250 Tl
0.107 0.625 0.250 Tl
0.375 0.357 0.750 Tl
0.875 0.893 0.750 Tl
0.000 0.000 0.000 Ir
0.750 0.250 0.500 Ir
0.500 0.500 0.000 V
0.250 0.750 0.500 V
```

Crystal system   tetragonal
Space-group type   No. 122
Calculated volume   21.503 Å³/atom
D(E_F)   0.936 states/eV per atom

Name the most stable of them. <i>.